Compound: NaTm2MoO6
Source: the Alexandria database
Functional: PBE+U
Structure: relaxed

The space group is P1 (No. 1) and the conventional cell measures 5.564, 5.609 and 5.934 Å, with angles of 61.92, 62.94 and 60.46 degrees. The inequivalent atoms are Na at (0.000, 0.000, 0.000), Tm at (0.219, 0.210, 0.343), Tm at (0.723, 0.730, 0.822), Mo at (0.518, 0.525, 0.430), O at (0.146, 0.782, 0.624), O at (0.349, 0.585, 0.166), O at (0.428, 0.153, 0.627), O at (0.584, 0.903, 0.154), O at (0.767, 0.442, 0.620) and O at (0.894, 0.350, 0.160).

The size of the total moment comes out at 0.1000 μB per atom. The value obtained for the electronic total energy is -7.385 eV/atom.